(1)
# Al4Cl PBE optimized geometry
# - Magnetic moment: 0.0 μB per cell
# - Distance to the lowest polymorph of the same formula: 51 meV per atom
# - Uncorrected formation energy: 129 meV per atom
# - Electronic total energy: -3.234 eV/atom
data_Al4Cl
_chemical_formula_sum 'Al8 Cl2'
_cell_length_a 6.384
_cell_length_b 6.384
_cell_length_c 4.570
_cell_angle_alpha 90.00
_cell_angle_beta 90.00
_cell_angle_gamma 90.00
_symmetry_space_group_name_H-M 'I 4/m'
_symmetry_Int_Tables_number 87
_symmetry_space_group_name_Hall '-I 4'
loop_
_atom_site_label
_atom_site_fract_x
_atom_site_fract_y
_atom_site_fract_z
_atom_site_occupancy
Al1 0.087 0.299 0.000 1
Cl1 0.000 0.000 0.500 1

(2)
# Ba3In2Ag3 PBE optimized geometry
# - Magnetic moment: 0.0 μB per cell
# - ΔE_f: -0.308 eV/atom
# - Electronic total energy: -2.783 eV/atom
data_Ba3In2Ag3
_chemical_formula_sum 'Ba12 In8 Ag12'
_cell_length_a 5.022
_cell_length_b 12.720
_cell_length_c 16.380
_cell_angle_alpha 90.00
_cell_angle_beta 90.00
_cell_angle_gamma 90.00
_symmetry_space_group_name_H-M 'C m c m'
_symmetry_Int_Tables_number 63
_symmetry_space_group_name_Hall '-C 2c 2'
loop_
_atom_site_label
_atom_site_fract_x
_atom_site_fract_y
_atom_site_fract_z
_atom_site_occupancy
Ba1 0.000 0.084 0.106 1
Ba2 0.000 0.373 0.250 1
In1 0.000 0.210 0.588 1
Ag1 0.000 0.319 0.750 1
Ag2 0.000 0.389 0.036 1

electronic total energy of number 2 (Ba3In2Ag3)? -2.783 eV/atom

Look up the magnetic moment of the second one. 0.0 μB per cell